Density functional theory data (PBE with a Hubbard U) for a relaxed structure of CdMoF3.

Calculated values
The volume comes out at 17.54 Å³ per atom. The value obtained for the density of states at the Fermi level is 2.077 states/eV/cell. The total energy comes out at -4.0706 eV per atom. Its space group is No. 221. As for the energy above the lowest structure with this stoichiometry: 0.373 eV per atom.

extended XYZ file:
```
5
Lattice="4.4429 0.0000 0.0000 0.0000 4.4429 0.0000 0.0000 0.0000 4.4429" Properties=species:S:1:pos:R:3 pbc="T T T"
Mo 2.2214 2.2214 2.2214
F 0.0000 2.2214 0.0000
F 0.0000 0.0000 2.2214
F 2.2214 0.0000 0.0000
Cd 0.0000 0.0000 0.0000
```